Material: NaCdSn
Method: DFT, PBE
State: relaxed

Cell lengths 5.0275, 5.0275, 3.5858 Å; angles 90.00, 90.00, 120.00 degrees
Element x y z (fractional)
Na  0.0000  0.0000  0.0000
Cd  0.3333  0.6667  0.5000
Sn  0.6667  0.3333  0.5000

Properties
Energy above the most stable polymorph in this dataset: 0.029 eV per atom
Raw total energy: -6.68 eV for the cell shown

***

Material: LiCl5
Method: DFT, PBE
State: relaxed

Cell lengths 6.7302, 6.7302, 3.6703 Å; angles 90.00, 90.00, 120.00 degrees
Element x y z (fractional)
Li  0.0000  0.0000  0.0000
Cl  0.0000  0.7255  0.5000
Cl  0.2745  0.2745  0.5000
Cl  0.3333  0.6667  0.0000
Cl  0.6667  0.3333  0.0000
Cl  0.7255  0.0000  0.5000

Properties
Energy above the most stable polymorph in this dataset: 0.598 eV per atom
Raw total energy: -11.01 eV for the cell shown

***

Material: Ta2TcIr
Method: DFT, PBE
State: relaxed

Cell lengths 2.7734, 2.7734, 8.5807 Å; angles 90.00, 90.00, 90.00 degrees
Element x y z (fractional)
Ta  0.0000  0.0000  0.0000
Ta  0.5000  0.5000  0.2749
Tc  0.0000  0.0000  0.5398
Ir  0.5000  0.5000  0.7476

Properties
Raw total energy: -43.53 eV for the cell shown

***

What is the raw total energy in the second record? -11.01 eV for the cell shown

***

Which of these has the highest raw total energy? NaCdSn

***

Which formula does entry 3 have? Ta2TcIr

***

Which of these has the highest raw total energy? NaCdSn